Below is crystalline Ba2SrBr at its relaxed geometry, with properties calculated at the PBEsol level.

Cell lengths 4.3141, 4.3141, 11.9645 Å; angles 79.61, 79.61, 60.00 degrees
Closest atoms and distances in Å follow each position.
Positions (direct):
Sr 0.0000 0.0000 0.0000  6 Sr 4.31, 6 Ba 4.33
Br 0.5000 0.5000 0.5000  6 Ba 3.39
Ba 0.2324 0.2324 0.3029  3 Br 3.39
Ba 0.7676 0.7676 0.6971  3 Br 3.39

V (A^3/atom): 47.2
Excess energy over the best structure of this formula in the dataset (meV/atom): 0.0

---

Below is crystalline GaPPd3 at its relaxed geometry, with properties calculated at the PBEsol level.

Cell lengths 4.5164, 4.5164, 4.5164 Å; angles 90.00, 90.00, 90.00 degrees
Closest atoms and distances in Å follow each position.
Positions (direct):
Pd 0.0000 0.0000 0.5000  2 Ga 2.26
Pd 0.5000 0.0000 0.0000  2 Ga 2.26
Ga 0.0000 0.0000 0.0000  6 Pd 2.26
Pd 0.0000 0.5000 0.0000  2 Ga 2.26
P 0.5000 0.5000 0.5000  12 Pd 3.19

V (A^3/atom): 18.4
ΔH_f (0 K) (meV/atom): 566

---

Below is crystalline Ba2ThCu2S5 at its relaxed geometry, with properties calculated at the PBEsol level.

Cell lengths 4.0725, 7.0457, 9.0567 Å; angles 69.26, 77.01, 73.20 degrees
Closest atoms and distances in Å follow each position.
Positions (direct):
Cu 0.4474 0.8083 0.2969  4 S 2.29-2.36
S 0.3848 0.2989 0.9314  1 Cu 2.34
S 0.8541 0.9761 0.3156  2 Cu 2.36
Th 0.0000 0.0000 0.0000  6 S 2.74-2.80
Ba 0.1769 0.3390 0.3071  8 S 3.06-3.41
S 0.1459 0.0239 0.6844  2 Cu 2.36
S 0.6152 0.7011 0.0686  1 Cu 2.34
Cu 0.5526 0.1917 0.7031  4 S 2.29-2.36
S 0.5000 0.5000 0.5000  2 Cu 2.29
Ba 0.8231 0.6610 0.6929  8 S 3.06-3.41

V (A^3/atom): 23.0

---

What did we get for magnetization? Answer: 0.0 0.0 0.0 μB/cell, in the order shown.
What did we get for E_tot? Answer: -2.7605 -4.8359 -5.8870 eV/atom, in the order shown.